Na10B13C7: relaxed, PBE.

Cell and atoms, written as CIF:
```
data_Na10B13C7
_symmetry_space_group_name_H-M 'A m m 2'
_symmetry_Int_Tables_number 38
_cell_length_a 8.546
_cell_length_b 2.826
_cell_length_c 25.361
_cell_angle_alpha 90.00
_cell_angle_beta 90.00
_cell_angle_gamma 90.00
loop_
_symmetry_equiv_pos_as_xyz
'x,y,z'
'-x,-y,z'
'-x,y,z'
'x,-y,z'
'x,y+1/2,z+1/2'
'-x,-y+1/2,z+1/2'
'-x,y+1/2,z+1/2'
'x,-y+1/2,z+1/2'
loop_
_atom_site_label
_atom_site_fract_x
_atom_site_fract_y
_atom_site_fract_z
Na1 0.245 0.000 0.000
Na2 0.245 0.000 0.400
Na3 0.248 0.000 0.800
Na4 0.249 0.000 0.201
Na5 0.249 0.000 0.601
B1 0.000 0.000 0.070
B2 0.000 0.000 0.264
B3 0.000 0.000 0.473
B4 0.000 0.000 0.666
B5 0.000 0.000 0.861
B6 0.000 0.000 0.933
B7 0.500 0.000 0.065
B8 0.500 0.000 0.131
B9 0.500 0.000 0.336
B10 0.500 0.000 0.522
B11 0.500 0.000 0.673
B12 0.500 0.000 0.742
B13 0.500 0.000 0.930
C1 0.000 0.000 0.135
C2 0.000 0.000 0.329
C3 0.000 0.000 0.537
C4 0.000 0.000 0.732
C5 0.500 0.000 0.272
C6 0.500 0.000 0.462
C7 0.500 0.000 0.867
```

Computed properties:
**Excess energy over the best structure of this formula in the dataset**: 6.7 meV/atom
**Total DFT energy (no corrections)**: -323.606 eV/cell
**Density**: 2.46 Mg/m³
**Total magnetization**: 0.06 μB per cell